# NiSnP2O (PBE with a Hubbard U, relaxed)
# Spin magnetization in μB/f.u.: 0.0
# Calculated total energy in eV/atom: -4.142
data_NiSnP2O
_chemical_formula_sum 'Ni1 Sn1 P2 O1'
_cell_length_a 4.6801
_cell_length_b 4.6801
_cell_length_c 3.5631
_cell_angle_alpha 90.00
_cell_angle_beta 90.00
_cell_angle_gamma 90.00
_space_group_name_H-M_alt 'P 1'
_space_group_IT_number 1
loop_
_space_group_symop_operation_xyz
'x,y,z'
loop_
_atom_site_label
_atom_site_type_symbol
_atom_site_fract_x
_atom_site_fract_y
_atom_site_fract_z
Ni1 Ni 0.0000 0.0000 0.0000
Sn1 Sn 0.5000 0.5000 0.5000
P1 P 0.0000 0.5000 0.0000
P2 P 0.5000 0.0000 0.0000
O1 O 0.0000 0.0000 0.5000